Compound: LiLaTlNi
Source: Alexandria via LeMat-Bulk
Functional: GGA-PBE
Structure: relaxed

Calculated values
The calculated density is 8.299 g/cm3. As for the energy: -63.38 eV per cell. Its space group is F-43m (216). The calculation puts the magnetic moment at 0.00 μB per formula unit. The calculation puts the energy relative to the elements at -0.21 eV per atom.

Unit cell a=6.8914 b=6.8914 c=6.8914 alpha=90.00 beta=90.00 gamma=90.00
Positions (direct):
Li 0.0000 0.0000 0.0000
Li 0.0000 0.5000 0.5000
Li 0.5000 0.0000 0.5000
Li 0.5000 0.5000 0.0000
La 0.2500 0.2500 0.7500
La 0.2500 0.7500 0.2500
La 0.7500 0.2500 0.2500
La 0.7500 0.7500 0.7500
Tl 0.2500 0.2500 0.2500
Tl 0.2500 0.7500 0.7500
Tl 0.7500 0.2500 0.7500
Tl 0.7500 0.7500 0.2500
Ni 0.0000 0.0000 0.5000
Ni 0.0000 0.5000 0.0000
Ni 0.5000 0.0000 0.0000
Ni 0.5000 0.5000 0.5000